## LiBiCl2 (GGA-PBE)

Data for a relaxed structure of LiBiCl2.

a b c (Å): 6.6039 6.6039 9.8347
angles (deg): 90.00 90.00 90.00
Space group I-42d (No. 122)
One atom of each set of equivalent atoms:
Li: 0.0000 0.0000 0.0000 (multiplicity 4)
Bi: 0.0000 0.0000 0.5000 (multiplicity 4)
Cl: 0.1603 0.2500 0.1250 (multiplicity 8)

- ΔE_f (raw) (eV/atom) = -0.769
- Fermi-level density of states (states/eV per cell) = 6.92

## LiBiCl2 (GGA-PBE)

Data for a relaxed structure of LiBiCl2.

a b c (Å): 7.2594 7.2594 7.2594
angles (deg): 90.00 90.00 90.00
Space group Fm-3m (No. 225)
One atom of each set of equivalent atoms:
Li: 0.0000 0.0000 0.0000 (multiplicity 4)
Bi: 0.0000 0.0000 0.5000 (multiplicity 4)
Cl: 0.2500 0.2500 0.2500 (multiplicity 8)

- ΔE_f (raw) (eV/atom) = -0.495
- Fermi-level density of states (states/eV per cell) = 12.45

## Li3BiCl6 (GGA-PBE)

Data for a relaxed structure of Li3BiCl6.

a b c (Å): 7.3957 7.4999 7.5013
angles (deg): 61.32 61.40 61.40
Space group P-1 (No. 2)
One atom of each set of equivalent atoms:
Li: 0.0000 0.0000 0.0000 (multiplicity 1)
Li: 0.0000 0.0000 0.5000 (multiplicity 1)
Li: 0.0000 0.5000 0.0000 (multiplicity 1)
Bi: 0.5000 0.5000 0.5000 (multiplicity 1)
Cl: 0.2174 0.2740 0.7782 (multiplicity 2)
Cl: 0.2214 0.7820 0.2703 (multiplicity 2)
Cl: 0.2232 0.7556 0.7557 (multiplicity 2)

- ΔE_f (raw) (eV/atom) = -1.412
- Fermi-level density of states (states/eV per cell) = 0.00

## Li3Bi2Cl8 (GGA-PBE)

Data for a relaxed structure of Li3Bi2Cl8.

a b c (Å): 13.9297 7.8429 6.5960
angles (deg): 90.00 113.50 90.00
Space group C2/m (No. 12)
One atom of each set of equivalent atoms:
Li: 0.0000 0.0000 0.0000 (multiplicity 2)
Li: 0.0000 0.2277 0.5000 (multiplicity 4)
Bi: 0.1971 0.5000 0.1601 (multiplicity 4)
Cl: 0.1079 0.0000 0.4217 (multiplicity 4)
Cl: 0.1164 0.5000 0.4625 (multiplicity 4)
Cl: 0.1187 0.2214 0.9220 (multiplicity 8)

- ΔE_f (raw) (eV/atom) = -1.191
- Fermi-level density of states (states/eV per cell) = 5.71

## Li2BiCl6 (GGA-PBE)

Data for a relaxed structure of Li2BiCl6.

a b c (Å): 12.8866 4.2354 9.3995
angles (deg): 90.00 104.38 90.00
Space group C2/m (No. 12)
One atom of each set of equivalent atoms:
Li: 0.2177 0.0000 0.1545 (multiplicity 4)
Bi: 0.0000 0.0000 0.5000 (multiplicity 2)
Cl: 0.0502 0.0000 0.2441 (multiplicity 4)
Cl: 0.1440 0.5000 0.5958 (multiplicity 4)
Cl: 0.1699 0.5000 0.0457 (multiplicity 4)

- ΔE_f (raw) (eV/atom) = -1.091
- Fermi-level density of states (states/eV per cell) = 6.84

## Li2BiCl4 (GGA-PBE)

Data for a relaxed structure of Li2BiCl4.

a b c (Å): 7.8920 7.8920 6.5179
angles (deg): 90.00 90.00 90.00
Space group I4/m (No. 87)
One atom of each set of equivalent atoms:
Li: 0.0000 0.5000 0.2500 (multiplicity 4)
Bi: 0.0000 0.0000 0.0000 (multiplicity 2)
Cl: 0.1361 0.3215 0.0000 (multiplicity 8)

- ΔE_f (raw) (eV/atom) = -1.298

Among the records above, which one has the highest ΔE_f (raw)?
number 2